9
Lattice="-2.735 3.283 -0.174 -7.246 -6.118 -1.547 2.787 0.074 10.129" Properties=species:S:1:pos:R:3 comment="CePr2I6 GGA-PBE relaxed" total_magnetization_mub_per_cell=1.14 e_above_lowest_polymorph_mev_per_atom=0.0 energy_ev_per_atom=-4.03 crystal_system=monoclinic rho_g_cm3=5.0 raw_formation_energy_ev_per_atom=-1.280 pbc="T T T"
I -1.565 1.646 3.102
I -1.811 -1.526 -0.320
I -2.009 -1.348 6.133
I -5.383 -1.235 8.728
I -5.185 -1.413 2.274
I -5.629 -4.407 5.306
Pr -5.136 -1.204 5.454
Pr -2.058 -1.557 2.953
Ce -1.368 1.642 -0.087

=====

12
Lattice="8.542 0.000 0.000 -4.271 6.084 -4.201 0.000 0.552 9.537" Properties=species:S:1:pos:R:3 comment="Ce3PrI8 GGA-PBE relaxed" total_magnetization_mub_per_cell=5.52 energy_ev_per_atom=-4.16 crystal_system=monoclinic rho_g_cm3=5.1 raw_formation_energy_ev_per_atom=-1.248 pbc="T T T"
Ce 4.271 0.000 0.000
Ce -2.135 3.042 -2.100
Ce 2.135 3.042 -2.100
I 0.000 3.436 5.041
I 2.134 6.478 2.940
I 6.405 0.158 2.397
I 0.000 3.203 0.295
I 4.271 3.200 0.296
I 4.271 3.434 5.041
I 2.137 0.158 2.397
I -2.134 6.478 2.940
Pr 0.000 0.000 0.000

=====

4
Lattice="-0.415 0.269 3.907 -1.342 -3.081 2.055 8.412 -4.074 3.159" Properties=species:S:1:pos:R:3 comment="CePrI2 GGA-PBE relaxed" total_magnetization_mub_per_cell=1.24 e_above_lowest_polymorph_mev_per_atom=0.0 energy_ev_per_atom=-4.29 crystal_system=trigonal rho_g_cm3=6.9 raw_formation_energy_ev_per_atom=-0.834 pbc="T T T"
Pr 3.290 -3.430 4.556
Ce -1.132 -1.888 3.980
I 6.179 -3.296 2.868
I 1.645 -1.715 2.278

=====

18
Lattice="-7.087 -1.803 3.459 2.409 -7.665 0.940 4.651 2.810 10.995" Properties=species:S:1:pos:R:3 comment="CePr2I6 GGA-PBE relaxed" total_magnetization_mub_per_cell=3.88 e_above_lowest_polymorph_mev_per_atom=104.6 energy_ev_per_atom=-3.93 crystal_system=tetragonal rho_g_cm3=4.9 raw_formation_energy_ev_per_atom=-1.175 pbc="T T T"
I -1.934 -1.188 10.264
I -3.499 -2.133 6.564
I -1.033 -5.393 8.656
I 3.473 -4.525 8.829
I 1.006 -1.265 6.738
I 2.537 -0.358 10.398
I 0.339 -6.387 1.489
I -5.017 -3.081 2.910
I -0.549 -2.223 3.102
I 1.908 -5.471 5.130
I 0.523 -4.436 12.292
I -2.564 -6.300 4.996
Ce -2.339 -4.734 2.199
Ce 2.326 1.405 5.498
Pr 3.903 2.358 9.227
Pr 0.735 -2.877 9.465
Pr 0.748 0.452 1.768
Pr -0.761 -3.781 5.929

=====

8
Lattice="-3.697 0.205 -6.930 -6.847 -3.739 -0.911 -7.018 4.735 -0.568" Properties=species:S:1:pos:R:3 comment="CePrI6 GGA-PBE relaxed" total_magnetization_mub_per_cell=1.00 e_above_lowest_polymorph_mev_per_atom=18.8 energy_ev_per_atom=-3.83 crystal_system=trigonal rho_g_cm3=4.5 raw_formation_energy_ev_per_atom=-1.326 pbc="T T T"
I -8.406 2.028 -1.412
I -9.157 -0.826 -6.998
I -8.923 -2.175 -2.704
I -5.640 0.374 -4.448
I -8.639 3.377 -5.706
I -11.922 0.828 -3.961
Ce 0.000 0.000 0.000
Pr -8.781 0.601 -4.205

=====

11
Lattice="6.374 -0.126 -0.190 -1.229 8.572 -0.029 -1.229 -3.328 7.899" Properties=species:S:1:pos:R:3 comment="CePr2I8 GGA-PBE relaxed" total_magnetization_mub_per_cell=2.06 energy_ev_per_atom=-3.73 crystal_system=monoclinic rho_g_cm3=5.6 raw_formation_energy_ev_per_atom=-1.198 pbc="T T T"
I 1.957 5.758 1.708
I 1.957 -0.641 5.972
I 0.060 2.552 0.501
I 0.060 -0.521 2.548
I 0.487 3.278 4.921
I 3.855 5.638 5.132
I 3.428 1.839 2.760
I 3.855 2.565 7.179
Pr -1.229 4.809 2.477
Pr -1.229 0.434 5.392
Ce 3.187 -0.063 -0.095

=====

8
Lattice="7.653 0.340 -1.338 -2.130 7.096 -3.540 0.276 -1.101 8.132" Properties=species:S:1:pos:R:3 comment="CePrI6 GGA-PBE relaxed" total_magnetization_mub_per_cell=1.00 e_above_lowest_polymorph_mev_per_atom=0.0 energy_ev_per_atom=-3.85 crystal_system=monoclinic rho_g_cm3=4.2 raw_formation_energy_ev_per_atom=-1.345 pbc="T T T"
I 1.074 2.823 -0.931
I 4.002 5.974 0.678
I 0.540 4.598 3.117
I 5.259 1.738 0.136
I 1.797 0.361 2.575
I 4.725 3.513 4.184
Ce 2.899 3.168 1.627
Pr 0.000 0.000 0.000

=====

11
Lattice="-6.785 4.766 -1.113 -4.875 -6.124 2.556 2.148 4.763 6.364" Properties=species:S:1:pos:R:3 comment="Ce2Pr2I7 GGA-PBE relaxed" total_magnetization_mub_per_cell=5.10 energy_ev_per_atom=-3.94 crystal_system=monoclinic rho_g_cm3=4.5 raw_formation_energy_ev_per_atom=-1.008 pbc="T T T"
Ce -3.763 3.243 4.442
Ce -5.749 0.162 3.364
I -4.056 5.337 1.969
I -6.887 2.736 4.876
I -2.625 0.668 2.930
I -5.456 -1.933 5.837
I 0.000 0.000 0.000
I -2.596 2.500 7.388
I -6.916 0.905 0.418
Pr -6.711 3.693 1.817
Pr -2.801 -0.288 5.989